Below is a relaxed structure of BaAuSeO2, with properties calculated at the PBE level.

Output
- Total DFT energy (no corrections): -22.1 eV/f.u.
- Space-group type: No. 123
- Volume: 96 Å³ per cell
- Total moment: 0.0 μB per formula unit
- E_form (uncorrected): -0.70 eV per atom

Unit cell a=4.423 b=4.423 c=4.905 alpha=90.00 beta=90.00 gamma=90.00
Sites, in units of the cell vectors:
Ba  0.000  0.000  0.000
Au  0.500  0.500  0.000
Se  0.500  0.500  0.500
O  0.000  0.500  0.500
O  0.500  0.000  0.500

***

Below is a relaxed structure of BaSnAu2O, with properties calculated at the PBE level.

Output
- Total DFT energy (no corrections): -16.8 eV/f.u.
- Space-group type: No. 123
- Volume: 165 Å³ per cell
- Total moment: 0.0 μB per formula unit
- E_form (uncorrected): 0.12 eV per atom

Unit cell a=6.082 b=6.082 c=4.462 alpha=90.00 beta=90.00 gamma=90.00
Sites, in units of the cell vectors:
Ba  0.000  0.000  0.000
Sn  0.500  0.500  0.500
Au  0.000  0.500  0.000
Au  0.500  0.000  0.000
O  0.000  0.000  0.500

***

Below is a relaxed structure of Ba6Sn2AuO, with properties calculated at the PBE level.

Output
- Total DFT energy (no corrections): -36.0 eV/f.u.
- Space-group type: No. 59
- Volume: 810 Å³ per cell
- Total moment: 0.0 μB per formula unit
- E_form (uncorrected): -0.82 eV per atom

Unit cell a=8.212 b=11.705 c=8.425 alpha=90.00 beta=90.00 gamma=90.00
Sites, in units of the cell vectors:
Ba  0.001  0.250  0.061
Ba  0.023  0.750  0.482
Ba  0.250  0.516  0.723
Ba  0.250  0.984  0.723
Ba  0.477  0.750  0.482
Ba  0.499  0.250  0.061
Ba  0.501  0.750  0.939
Ba  0.523  0.250  0.518
Ba  0.750  0.016  0.277
Ba  0.750  0.484  0.277
Ba  0.977  0.250  0.518
Ba  0.999  0.750  0.939
Sn  0.250  0.016  0.277
Sn  0.250  0.484  0.277
Sn  0.750  0.516  0.723
Sn  0.750  0.984  0.723
Au  0.250  0.250  0.779
Au  0.750  0.750  0.221
O  0.250  0.750  0.732
O  0.750  0.250  0.268

***

Below is a relaxed structure of Ba2SrAu2O6, with properties calculated at the PBE level.

Output
- Total DFT energy (no corrections): -55.9 eV/f.u.
- Space-group type: No. 166
- Volume: 224 Å³ per cell
- Total moment: 0.3 μB per formula unit
- E_form (uncorrected): -1.28 eV per atom

Unit cell a=7.504 b=7.504 c=7.504 alpha=49.36 beta=49.36 gamma=49.36
Sites, in units of the cell vectors:
Ba  0.206  0.206  0.206
Ba  0.794  0.794  0.794
Sr  0.000  0.000  0.000
Au  0.423  0.423  0.423
Au  0.577  0.577  0.577
O  0.200  0.756  0.756
O  0.244  0.244  0.800
O  0.244  0.800  0.244
O  0.756  0.200  0.756
O  0.756  0.756  0.200
O  0.800  0.244  0.244

***

Below is a relaxed structure of BaSrAuO2, with properties calculated at the PBE level.

Output
- Total DFT energy (no corrections): -24.7 eV/f.u.
- Space-group type: No. 13
- Volume: 231 Å³ per cell
- Total moment: 0.0 μB per formula unit
- E_form (uncorrected): -1.58 eV per atom

Unit cell a=5.831 b=5.435 c=7.289 alpha=90.00 beta=90.06 gamma=90.00
Sites, in units of the cell vectors:
Ba  0.000  0.003  0.250
Ba  0.000  0.997  0.750
Sr  0.500  0.499  0.750
Sr  0.500  0.501  0.250
Au  0.500  0.000  0.000
Au  0.500  0.000  0.500
O  0.250  0.285  0.000
O  0.250  0.715  0.500
O  0.750  0.285  0.500
O  0.750  0.715  0.000

***

Below is a relaxed structure of BaSrAuO3, with properties calculated at the PBE level.

Output
- Total DFT energy (no corrections): -32.9 eV/f.u.
- Space-group type: No. 12
- Volume: 215 Å³ per cell
- Total moment: 0.0 μB per formula unit
- E_form (uncorrected): -1.85 eV per atom

Unit cell a=7.148 b=7.148 c=7.405 alpha=104.89 beta=104.89 gamma=36.14
Sites, in units of the cell vectors:
Ba  0.145  0.145  0.075
Ba  0.855  0.855  0.925
Sr  0.146  0.146  0.571
Sr  0.854  0.854  0.429
Au  0.498  0.498  0.734
Au  0.502  0.502  0.266
O  0.001  0.001  0.269
O  0.337  0.337  0.658
O  0.342  0.342  0.184
O  0.658  0.658  0.816
O  0.663  0.663  0.342
O  0.999  0.999  0.731

***

Below is a relaxed structure of BaSr2AuO4, with properties calculated at the PBE level.

Output
- Total DFT energy (no corrections): -43.4 eV/f.u.
- Space-group type: No. 63
- Volume: 293 Å³ per cell
- Total moment: 1.0 μB per formula unit
- E_form (uncorrected): -1.87 eV per atom

Unit cell a=6.562 b=6.562 c=12.562 alpha=90.00 beta=90.00 gamma=147.21
Sites, in units of the cell vectors:
Ba  0.118  0.882  0.750
Ba  0.882  0.118  0.250
Sr  0.373  0.627  0.547
Sr  0.373  0.627  0.953
Sr  0.627  0.373  0.047
Sr  0.627  0.373  0.453
Au  0.149  0.851  0.250
Au  0.851  0.149  0.750
O  0.000  0.000  0.000
O  0.000  0.000  0.500
O  0.269  0.731  0.120
O  0.269  0.731  0.380
O  0.456  0.544  0.750
O  0.544  0.456  0.250
O  0.731  0.269  0.620
O  0.731  0.269  0.880

***

Below is a relaxed structure of Ba2TbAuO4, with properties calculated at the PBE level.

Output
- Total DFT energy (no corrections): -48.4 eV/f.u.
- Space-group type: No. 82
- Volume: 178 Å³ per cell
- Total moment: 0.0 μB per formula unit
- E_form (uncorrected): -2.10 eV per atom

Unit cell a=6.729 b=6.729 c=6.729 alpha=129.34 beta=129.34 gamma=74.46
Sites, in units of the cell vectors:
Ba  0.000  0.000  0.000
Ba  0.750  0.250  0.500
Tb  0.500  0.500  0.000
Au  0.250  0.750  0.500
O  0.173  0.614  0.015
O  0.386  0.401  0.559
O  0.599  0.158  0.985
O  0.842  0.827  0.441